Entry from Alexandria: a geometry-optimized LaOs2W structure (PBE).

a = 4.6506 Å, b = 4.6506 Å, c = 6.5972 Å
α = 90.00°, β = 90.00°, γ = 90.00°
Last column: nearest neighbours and their distance in Å.
Space group I-4m2 (No. 119)
Unique sites:
1 La 0.0000 0.0000 0.0000 [2 per cell]  4 W 2.85, 4 Os 2.85
2 Os 0.0000 0.0000 0.5000 [2 per cell]  4 W 2.85, 4 Os 2.85
3 Os 0.0000 0.5000 0.7500 [2 per cell]  4 La 2.85, 4 Os 2.85
4 W 0.0000 0.5000 0.2500 [2 per cell]  4 La 2.85, 4 Os 2.85

Summary:
offset from the most stable computed form	630	meV/atom
DFT formation energy	74.04	kJ/mol of atoms
Fermi-level density of states	1.48	states/eV per atom

Entry from Alexandria: a geometry-optimized Rb2ScW2 structure (PBE).

a = 4.1974 Å, b = 4.1974 Å, c = 16.2061 Å
α = 90.00°, β = 90.00°, γ = 90.00°
Last column: nearest neighbours and their distance in Å.
Space group I4/mmm (No. 139)
Unique sites:
1 Rb 0.0000 0.5000 0.2500 [4 per cell]  4 Rb 2.97
2 Sc 0.0000 0.0000 0.0000 [2 per cell]  8 W 3.17
3 W 0.0000 0.0000 0.4317 [4 per cell]  1 W 2.21

Summary:
offset from the most stable computed form	0	meV/atom
DFT formation energy	159.25	kJ/mol of atoms
Fermi-level density of states	2.00	states/eV per atom

Entry from Alexandria: a geometry-optimized ZrTlCuPd structure (PBE).

a = 6.6040 Å, b = 6.6040 Å, c = 6.6040 Å
α = 90.00°, β = 90.00°, γ = 90.00°
Last column: nearest neighbours and their distance in Å.
Space group F-43m (No. 216)
Unique sites:
1 Zr 0.0000 0.0000 0.0000 [4 per cell]  4 Cu 2.86, 4 Pd 2.86
2 Tl 0.0000 0.0000 0.5000 [4 per cell]  4 Cu 2.86, 4 Pd 2.86
3 Cu 0.2500 0.2500 0.2500 [4 per cell]  4 Zr 2.86, 4 Tl 2.86
4 Pd 0.2500 0.2500 0.7500 [4 per cell]  4 Zr 2.86, 4 Tl 2.86

Summary:
DFT formation energy	-25.87	kJ/mol of atoms
Fermi-level density of states	0.52	states/eV per atom

Entry from Alexandria: a geometry-optimized NaLaTiAg2 structure (PBE).

a = 5.0125 Å, b = 5.0125 Å, c = 5.1398 Å
α = 90.00°, β = 90.00°, γ = 90.00°
Last column: nearest neighbours and their distance in Å.
Space group P4/mmm (No. 123)
Unique sites:
1 Na 0.0000 0.0000 0.0000 [1 per cell]  4 Ag 2.51, 2 Ti 2.57
2 La 0.5000 0.5000 0.5000 [1 per cell]  4 Ti 3.54, 8 Ag 3.59
3 Ti 0.0000 0.0000 0.5000 [1 per cell]  2 Na 2.57
4 Ag 0.0000 0.5000 0.0000 [2 per cell]  2 Na 2.51

Summary:
DFT formation energy	65.26	kJ/mol of atoms
Fermi-level density of states	1.53	states/eV per atom